[1]
First-principles (PBE-GGA) data for crystalline SrHgBiSb at its relaxed geometry, as listed in the Alexandria database.

Cell and atoms, written as CIF:
```
data_SrHgBiSb
_symmetry_space_group_name_H-M 'F -4 3 m'
_symmetry_Int_Tables_number 216
_symmetry_space_group_name_Hall 'F -4 2 3'
_cell_length_a 7.9142
_cell_length_b 7.9142
_cell_length_c 7.9142
_cell_angle_alpha 90.00
_cell_angle_beta 90.00
_cell_angle_gamma 90.00
loop_
_atom_site_label
_atom_site_type_symbol
_atom_site_fract_x
_atom_site_fract_y
_atom_site_fract_z
Sr1 Sr 0.0000 0.0000 0.0000
Hg1 Hg 0.2500 0.2500 0.7500
Bi1 Bi 0.0000 0.0000 0.5000
Sb1 Sb 0.2500 0.2500 0.2500
```

Properties
- E_form (uncorrected) (eV per atom) = -0.361
- excess energy over the best structure of this formula in the dataset (kJ per mole of atoms) = 9.1
- DOS at the Fermi energy (states/eV/f.u.) = 3.23



[2]
First-principles (PBE-GGA) data for crystalline SrHgBiSb at its relaxed geometry, as listed in the Alexandria database.

Cell and atoms, written as CIF:
```
data_SrHgBiSb
_symmetry_space_group_name_H-M 'P m m m'
_symmetry_Int_Tables_number 47
_cell_length_a 4.5602
_cell_length_b 4.9490
_cell_length_c 5.4048
_cell_angle_alpha 90.00
_cell_angle_beta 90.00
_cell_angle_gamma 90.00
loop_
_symmetry_equiv_pos_as_xyz
'x,y,z'
'-x,-y,-z'
'-x,-y,z'
'x,y,-z'
'x,-y,-z'
'-x,y,z'
'-x,y,-z'
'x,-y,z'
loop_
_atom_site_label
_atom_site_type_symbol
_atom_site_fract_x
_atom_site_fract_y
_atom_site_fract_z
Sr1 Sr 0.0000 0.0000 0.0000
Hg1 Hg 0.5000 0.5000 0.0000
Bi1 Bi 0.0000 0.5000 0.5000
Sb1 Sb 0.5000 0.0000 0.5000
```

Properties
- E_form (uncorrected) (eV per atom) = -0.455
- excess energy over the best structure of this formula in the dataset (kJ per mole of atoms) = 0.0
- DOS at the Fermi energy (states/eV/f.u.) = 1.85



[3]
First-principles (PBE-GGA) data for crystalline Sr2HgBiSb at its relaxed geometry, as listed in the Alexandria database.

Cell and atoms, written as CIF:
```
data_Sr2HgBiSb
_symmetry_space_group_name_H-M 'P 1 21/m 1'
_symmetry_Int_Tables_number 11
_cell_length_a 8.1134
_cell_length_b 4.9028
_cell_length_c 8.7798
_cell_angle_alpha 90.00
_cell_angle_beta 90.01
_cell_angle_gamma 90.00
loop_
_symmetry_equiv_pos_as_xyz
'x,y,z'
'-x,-y,-z'
'-x,y+1/2,-z'
'x,-y+1/2,z'
loop_
_atom_site_label
_atom_site_type_symbol
_atom_site_fract_x
_atom_site_fract_y
_atom_site_fract_z
Sr1 Sr 0.2244 0.2500 0.4818
Sr2 Sr 0.2246 0.2500 0.0181
Hg1 Hg 0.4264 0.7500 0.2504
Bi1 Bi 0.3665 0.7500 0.7498
Sb1 Sb 0.0726 0.7500 0.2499
```

Properties
- E_form (uncorrected) (eV per atom) = -0.753
- DOS at the Fermi energy (states/eV/f.u.) = 0.25



[4]
First-principles (PBE-GGA) data for crystalline Sr4HgBi2Sb2 at its relaxed geometry, as listed in the Alexandria database.

Cell and atoms, written as CIF:
```
data_Sr4HgBi2Sb2
_symmetry_space_group_name_H-M 'C 1 2/m 1'
_symmetry_Int_Tables_number 12
_cell_length_a 14.9177
_cell_length_b 9.0237
_cell_length_c 5.0084
_cell_angle_alpha 90.00
_cell_angle_beta 99.37
_cell_angle_gamma 90.00
loop_
_symmetry_equiv_pos_as_xyz
'x,y,z'
'-x,-y,-z'
'-x,y,-z'
'x,-y,z'
'x+1/2,y+1/2,z'
'-x+1/2,-y+1/2,-z'
'-x+1/2,y+1/2,-z'
'x+1/2,-y+1/2,z'
loop_
_atom_site_label
_atom_site_type_symbol
_atom_site_fract_x
_atom_site_fract_y
_atom_site_fract_z
Sr1 Sr 0.1289 0.2347 0.2365
Hg1 Hg 0.0000 0.5000 0.5000
Bi1 Bi 0.1837 0.5000 0.7807
Sb1 Sb 0.0817 0.0000 0.7070
```

Properties
- E_form (uncorrected) (eV per atom) = -0.668
- DOS at the Fermi energy (states/eV/f.u.) = 1.66



[5]
First-principles (PBE-GGA) data for crystalline HgBiSbTe2 at its relaxed geometry, as listed in the Alexandria database.

Cell and atoms, written as CIF:
```
data_HgBiSbTe2
_symmetry_space_group_name_H-M 'P 4/m m m'
_symmetry_Int_Tables_number 123
_symmetry_space_group_name_Hall '-P 4 2'
_cell_length_a 6.0194
_cell_length_b 6.0194
_cell_length_c 5.9264
_cell_angle_alpha 90.00
_cell_angle_beta 90.00
_cell_angle_gamma 90.00
loop_
_atom_site_label
_atom_site_type_symbol
_atom_site_fract_x
_atom_site_fract_y
_atom_site_fract_z
Hg1 Hg 0.0000 0.0000 0.0000
Bi1 Bi 0.5000 0.5000 0.5000
Sb1 Sb 0.5000 0.5000 0.0000
Te1 Te 0.0000 0.5000 0.5000
```

Properties
- E_form (uncorrected) (eV per atom) = 0.610
- excess energy over the best structure of this formula in the dataset (kJ per mole of atoms) = 0.0
- DOS at the Fermi energy (states/eV/f.u.) = 6.85



[6]
First-principles (PBE-GGA) data for crystalline HgBiSb2Te at its relaxed geometry, as listed in the Alexandria database.

Cell and atoms, written as CIF:
```
data_HgBiSb2Te
_symmetry_space_group_name_H-M 'P 4/m m m'
_symmetry_Int_Tables_number 123
_symmetry_space_group_name_Hall '-P 4 2'
_cell_length_a 5.5216
_cell_length_b 5.5216
_cell_length_c 5.6137
_cell_angle_alpha 90.00
_cell_angle_beta 90.00
_cell_angle_gamma 90.00
loop_
_atom_site_label
_atom_site_type_symbol
_atom_site_fract_x
_atom_site_fract_y
_atom_site_fract_z
Hg1 Hg 0.0000 0.0000 0.0000
Bi1 Bi 0.5000 0.5000 0.5000
Sb1 Sb 0.0000 0.5000 0.0000
Te1 Te 0.0000 0.0000 0.5000
```

Properties
- E_form (uncorrected) (eV per atom) = 0.690
- excess energy over the best structure of this formula in the dataset (kJ per mole of atoms) = 0.0
- DOS at the Fermi energy (states/eV/f.u.) = 5.52



[7]
First-principles (PBE-GGA) data for crystalline HgBiSbTe2 at its relaxed geometry, as listed in the Alexandria database.

Cell and atoms, written as CIF:
```
data_HgBiSbTe2
_symmetry_space_group_name_H-M 'P 4/m m m'
_symmetry_Int_Tables_number 123
_symmetry_space_group_name_Hall '-P 4 2'
_cell_length_a 5.5690
_cell_length_b 5.5690
_cell_length_c 5.5664
_cell_angle_alpha 90.00
_cell_angle_beta 90.00
_cell_angle_gamma 90.00
loop_
_atom_site_label
_atom_site_type_symbol
_atom_site_fract_x
_atom_site_fract_y
_atom_site_fract_z
Hg1 Hg 0.0000 0.0000 0.0000
Bi1 Bi 0.5000 0.5000 0.5000
Sb1 Sb 0.0000 0.0000 0.5000
Te1 Te 0.0000 0.5000 0.0000
```

Properties
- E_form (uncorrected) (eV per atom) = 0.627
- excess energy over the best structure of this formula in the dataset (kJ per mole of atoms) = 1.6
- DOS at the Fermi energy (states/eV/f.u.) = 4.29



[8]
First-principles (PBE-GGA) data for crystalline HgBiSb2Te at its relaxed geometry, as listed in the Alexandria database.

Cell and atoms, written as CIF:
```
data_HgBiSb2Te
_symmetry_space_group_name_H-M 'P 4/m m m'
_symmetry_Int_Tables_number 123
_symmetry_space_group_name_Hall '-P 4 2'
_cell_length_a 5.9024
_cell_length_b 5.9024
_cell_length_c 6.0397
_cell_angle_alpha 90.00
_cell_angle_beta 90.00
_cell_angle_gamma 90.00
loop_
_atom_site_label
_atom_site_type_symbol
_atom_site_fract_x
_atom_site_fract_y
_atom_site_fract_z
Hg1 Hg 0.0000 0.0000 0.0000
Bi1 Bi 0.5000 0.5000 0.5000
Sb1 Sb 0.0000 0.5000 0.5000
Te1 Te 0.5000 0.5000 0.0000
```

Properties
- E_form (uncorrected) (eV per atom) = 0.739
- excess energy over the best structure of this formula in the dataset (kJ per mole of atoms) = 4.7
- DOS at the Fermi energy (states/eV/f.u.) = 5.80



[9]
First-principles (PBE-GGA) data for crystalline Th4HgBi2Sb at its relaxed geometry, as listed in the Alexandria database.

Cell and atoms, written as CIF:
```
data_Th4HgBi2Sb
_symmetry_space_group_name_H-M 'P 1 2/m 1'
_symmetry_Int_Tables_number 10
_cell_length_a 7.8434
_cell_length_b 4.5229
_cell_length_c 7.9047
_cell_angle_alpha 90.00
_cell_angle_beta 109.19
_cell_angle_gamma 90.00
loop_
_symmetry_equiv_pos_as_xyz
'x,y,z'
'-x,-y,-z'
'-x,y,-z'
'x,-y,z'
loop_
_atom_site_label
_atom_site_type_symbol
_atom_site_fract_x
_atom_site_fract_y
_atom_site_fract_z
Th1 Th 0.2387 0.0000 0.2344
Th2 Th 0.2497 0.5000 0.7626
Hg1 Hg 0.0000 0.5000 0.0000
Bi1 Bi 0.0000 0.0000 0.5000
Bi2 Bi 0.5000 0.5000 0.5000
Sb1 Sb 0.5000 0.0000 0.0000
```

Properties
- E_form (uncorrected) (eV per atom) = -0.537
- DOS at the Fermi energy (states/eV/f.u.) = 4.93



[10]
First-principles (PBE-GGA) data for crystalline TiHgBiSb2 at its relaxed geometry, as listed in the Alexandria database.

Cell and atoms, written as CIF:
```
data_TiHgBiSb2
_symmetry_space_group_name_H-M 'P 4/m m m'
_symmetry_Int_Tables_number 123
_symmetry_space_group_name_Hall '-P 4 2'
_cell_length_a 5.3204
_cell_length_b 5.3204
_cell_length_c 5.3141
_cell_angle_alpha 90.00
_cell_angle_beta 90.00
_cell_angle_gamma 90.00
loop_
_atom_site_label
_atom_site_type_symbol
_atom_site_fract_x
_atom_site_fract_y
_atom_site_fract_z
Ti1 Ti 0.0000 0.0000 0.0000
Hg1 Hg 0.0000 0.0000 0.5000
Bi1 Bi 0.5000 0.5000 0.5000
Sb1 Sb 0.0000 0.5000 0.0000
```

Properties
- E_form (uncorrected) (eV per atom) = 0.282
- DOS at the Fermi energy (states/eV/f.u.) = 4.69



[11]
First-principles (PBE-GGA) data for crystalline TlHgBiSb at its relaxed geometry, as listed in the Alexandria database.

Cell and atoms, written as CIF:
```
data_TlHgBiSb
_symmetry_space_group_name_H-M 'F -4 3 m'
_symmetry_Int_Tables_number 216
_symmetry_space_group_name_Hall 'F -4 2 3'
_cell_length_a 7.8217
_cell_length_b 7.8217
_cell_length_c 7.8217
_cell_angle_alpha 90.00
_cell_angle_beta 90.00
_cell_angle_gamma 90.00
loop_
_atom_site_label
_atom_site_type_symbol
_atom_site_fract_x
_atom_site_fract_y
_atom_site_fract_z
Tl1 Tl 0.0000 0.0000 0.0000
Hg1 Hg 0.2500 0.2500 0.7500
Bi1 Bi 0.0000 0.0000 0.5000
Sb1 Sb 0.2500 0.2500 0.2500
```

Properties
- E_form (uncorrected) (eV per atom) = 0.073
- excess energy over the best structure of this formula in the dataset (kJ per mole of atoms) = 0.0
- DOS at the Fermi energy (states/eV/f.u.) = 2.40



[12]
First-principles (PBE-GGA) data for crystalline TlHgBiSb at its relaxed geometry, as listed in the Alexandria database.

Cell and atoms, written as CIF:
```
data_TlHgBiSb
_symmetry_space_group_name_H-M 'C 1 m 1'
_symmetry_Int_Tables_number 8
_cell_length_a 7.3018
_cell_length_b 4.2112
_cell_length_c 9.8869
_cell_angle_alpha 90.00
_cell_angle_beta 103.92
_cell_angle_gamma 90.00
loop_
_symmetry_equiv_pos_as_xyz
'x,y,z'
'x,-y,z'
'x+1/2,y+1/2,z'
'x+1/2,-y+1/2,z'
loop_
_atom_site_label
_atom_site_type_symbol
_atom_site_fract_x
_atom_site_fract_y
_atom_site_fract_z
Tl1 Tl 0.0000 0.0000 0.0000
Hg1 Hg 0.4080 0.0000 0.2273
Bi1 Bi 0.0210 0.5000 0.5588
Sb1 Sb 0.2476 0.0000 0.7417
```

Properties
- E_form (uncorrected) (eV per atom) = 0.096
- excess energy over the best structure of this formula in the dataset (kJ per mole of atoms) = 2.3
- DOS at the Fermi energy (states/eV/f.u.) = 1.87



[13]
First-principles (PBE-GGA) data for crystalline HgBiSbW2 at its relaxed geometry, as listed in the Alexandria database.

Cell and atoms, written as CIF:
```
data_HgBiSbW2
_symmetry_space_group_name_H-M 'P 4/m m m'
_symmetry_Int_Tables_number 123
_symmetry_space_group_name_Hall '-P 4 2'
_cell_length_a 5.2723
_cell_length_b 5.2723
_cell_length_c 5.4791
_cell_angle_alpha 90.00
_cell_angle_beta 90.00
_cell_angle_gamma 90.00
loop_
_atom_site_label
_atom_site_type_symbol
_atom_site_fract_x
_atom_site_fract_y
_atom_site_fract_z
Hg1 Hg 0.0000 0.0000 0.0000
Bi1 Bi 0.0000 0.0000 0.5000
Sb1 Sb 0.5000 0.5000 0.0000
W1 W 0.0000 0.5000 0.5000
```

Properties
- E_form (uncorrected) (eV per atom) = 2.366
- DOS at the Fermi energy (states/eV/f.u.) = 4.85



[14]
First-principles (PBE-GGA) data for crystalline Sc3HgBi at its relaxed geometry, as listed in the Alexandria database.

Cell and atoms, written as CIF:
```
data_Sc3HgBi
_symmetry_space_group_name_H-M 'P m -3 m'
_symmetry_Int_Tables_number 221
_symmetry_space_group_name_Hall '-P 4 2 3'
_cell_length_a 5.4192
_cell_length_b 5.4192
_cell_length_c 5.4192
_cell_angle_alpha 90.00
_cell_angle_beta 90.00
_cell_angle_gamma 90.00
loop_
_atom_site_label
_atom_site_type_symbol
_atom_site_fract_x
_atom_site_fract_y
_atom_site_fract_z
Sc1 Sc 0.0000 0.0000 0.5000
Hg1 Hg 0.5000 0.5000 0.5000
Bi1 Bi 0.0000 0.0000 0.0000
```

Properties
- excess energy over the best structure of this formula in the dataset (kJ per mole of atoms) = 31.7
- DOS at the Fermi energy (states/eV/f.u.) = 6.42